## Cs2BaInBr6 (PBE)

Data for Cs2BaInBr6 after structural relaxation.

Computed properties:
The calculation puts the density at 3712 kg/m³. The uncorrected formation energy comes out at -148.4 kJ per mole of atoms. Its final energy is -31.78 eV/cell. For the size of the total moment, the calculation gives 0.00 μB/f.u.

Geometry as POSCAR:
```
Cs2BaInBr6
1.0
-4.290 4.290 6.061
4.290 -4.290 6.061
4.290 4.290 -6.061
Cs Ba In Br
2 1 1 6
Direct
0.250 0.750 0.500
0.750 0.250 0.500
0.000 0.000 0.000
0.500 0.500 0.000
0.260 0.260 0.521
0.260 0.740 0.000
0.261 0.261 0.000
0.739 0.739 0.000
0.740 0.260 0.000
0.740 0.740 0.479
```

=====

## CsBa2InBr8 (PBE)

Data for CsBa2InBr8 after structural relaxation.

Computed properties:
The calculation puts the density at 3744 kg/m³. The uncorrected formation energy comes out at -155.3 kJ per mole of atoms. Its final energy is -40.13 eV/cell. For the size of the total moment, the calculation gives 0.00 μB/f.u.

Geometry as POSCAR:
```
CsBa2InBr8
1.0
7.144 0.000 0.000
-0.043 7.171 0.000
-0.008 -0.015 10.056
Cs Ba In Br
1 2 1 8
Direct
0.000 0.000 0.000
0.500 0.499 0.742
0.500 0.501 0.258
0.000 0.000 0.500
0.138 0.776 0.307
0.140 0.777 0.692
0.324 0.227 0.499
0.415 0.255 0.000
0.585 0.745 0.000
0.676 0.773 0.501
0.860 0.223 0.308
0.862 0.224 0.693
```